{
  "formula": "Sr2MnRh",
  "functional": "PBEsol",
  "state": "relaxed",
  "lattice_angstrom": [[-2.2715, -1.8551, 2.7534], [3.5244, 0.6876, 3.3708], [-2.0251, 4.3157, 1.2370]],
  "species": ["Rh", "Sr", "Sr", "Mn"],
  "fractional_positions": [[0.5000, 0.5000, 0.5000], [0.0000, 0.5000, 0.0000], [0.0000, 0.0000, 0.5000], [0.5000, 0.0000, 0.0000]],
  "dos_ef_per_ev_atom": 0.874,
  "de_polymorph_mev_per_atom": 311,
  "delta_e_f_ev_per_fu": 1.85
}

{
  "formula": "Ta2MnRh",
  "functional": "PBEsol",
  "state": "relaxed",
  "lattice_angstrom": [[4.2444, 0.0000, 0.0000], [0.0000, 4.2444, 0.0000], [-2.1222, -2.1222, 3.2855]],
  "species": ["Ta", "Rh", "Ta", "Mn"],
  "fractional_positions": [[0.7500, 0.2500, 0.5000], [0.0000, 0.0000, 0.0000], [0.2500, 0.7500, 0.5000], [0.5000, 0.5000, 0.0000]],
  "dos_ef_per_ev_atom": 1.096,
  "delta_e_f_ev_per_fu": -0.76
}